An optimized crystal structure of BiMoO3. Source: Alexandria, functional GGA+U.

## Properties
* crystal system: cubic
* DFT total energy: -6.266 eV/atom
* space group: Pm-3m
* size of the total moment: 2.73 μB/f.u.

Cell: 4.1166 4.1166 4.1166 Å, 90.00 90.00 90.00°
Last column: nearest neighbours and their distance in Å.
Fractional positions:
Bi 0.0000 0.0000 0.0000  12 O 2.91
O 0.0000 0.5000 0.5000  2 Mo 2.06
O 0.5000 0.0000 0.5000  2 Mo 2.06
Mo 0.5000 0.5000 0.5000  6 O 2.06
O 0.5000 0.5000 0.0000  2 Mo 2.06